Density functional theory data (PBE with a Hubbard U) for a relaxed Mn3Cu3Te2O16 crystal.

abc: 5.977 5.977 9.309
angles: 93.84 93.84 57.91
Sites, in units of the cell vectors:
Mn 0.000 0.000 0.000
Mn 0.171 0.668 0.496
Mn 0.668 0.171 0.496
Cu 0.002 0.498 0.996
Cu 0.498 0.002 0.996
Cu 0.665 0.665 0.496
Te 0.158 0.158 0.272
Te 0.510 0.510 0.775
O 0.001 0.001 0.393
O 0.002 0.494 0.381
O 0.159 0.159 0.908
O 0.191 0.674 0.878
O 0.287 0.849 0.141
O 0.300 0.300 0.134
O 0.339 0.798 0.631
O 0.359 0.359 0.619
O 0.492 0.492 0.395
O 0.494 0.002 0.381
O 0.674 0.191 0.878
O 0.680 0.680 0.875
O 0.798 0.339 0.631
O 0.838 0.838 0.083
O 0.841 0.841 0.588
O 0.849 0.287 0.141

D(E_F), states/eV per cell: 6.7
E_tot, eV for the cell shown: -140.98